Entry 1:
This record from Alexandria via LeMat-Bulk describes Tl6PbI8 after structural relaxation. The functional is PBE.

## Properties
The density of states at the Fermi level is 0.00 states/eV/atom. The value obtained for the uncorrected energy is -39.919 eV/cell. Its formation energy without anion corrections is -0.64 eV/atom.

```
Tl6PbI8
1.0
-5.835 -6.890 1.753
1.484 -6.934 -5.857
4.416 -6.836 4.286
I Tl Pb
8 6 1
direct
0.831 0.338 0.096 I
0.096 0.831 0.338 I
0.338 0.096 0.831 I
0.666 0.666 0.666 I
0.169 0.662 0.904 I
0.662 0.904 0.169 I
0.334 0.334 0.334 I
0.904 0.169 0.662 I
0.303 0.946 0.531 Tl
0.946 0.531 0.303 Tl
0.531 0.303 0.946 Tl
0.697 0.054 0.469 Tl
0.469 0.697 0.054 Tl
0.054 0.469 0.697 Tl
0.000 0.000 0.000 Pb
```

Entry 2:
This record from Alexandria via LeMat-Bulk describes Tl2PbI2 after structural relaxation. The functional is PBE.

## Properties
The density of states at the Fermi level is 0.18 states/eV/atom. The value obtained for the uncorrected energy is -25.216 eV/cell. The value obtained for the energy above the most stable polymorph in this dataset is 27.3 meV/atom. Its formation energy without anion corrections is -0.21 eV/atom.

```
Tl2PbI2
1.0
8.605 0.000 0.000
0.000 8.605 0.000
0.000 0.000 5.117
Tl I Pb
4 4 2
direct
0.854 0.646 0.000 Tl
0.354 0.854 0.000 Tl
0.646 0.146 0.000 Tl
0.146 0.354 0.000 Tl
0.674 0.826 0.500 I
0.826 0.326 0.500 I
0.326 0.174 0.500 I
0.174 0.674 0.500 I
0.000 0.000 0.000 Pb
0.500 0.500 0.000 Pb
```

Entry 3:
This record from Alexandria via LeMat-Bulk describes Tl5PbI8 after structural relaxation. The functional is PBE.

## Properties
The density of states at the Fermi level is 0.85 states/eV/atom. The value obtained for the uncorrected energy is -35.627 eV/cell. Its formation energy without anion corrections is -0.55 eV/atom.

```
Tl5PbI8
1.0
2.224 -0.520 -8.720
4.295 -6.461 4.590
-8.904 -1.088 0.895
Tl I Pb
5 8 1
direct
0.386 0.129 0.004 Tl
0.743 0.617 0.614 Tl
0.874 0.871 0.257 Tl
0.996 0.383 0.126 Tl
0.500 0.000 0.500 Tl
0.135 0.746 0.526 I
0.253 0.261 0.384 I
0.780 0.254 0.389 I
0.007 0.130 0.747 I
0.616 0.870 0.877 I
0.474 0.609 0.220 I
0.611 0.391 0.865 I
0.123 0.739 0.993 I
0.250 0.500 0.750 Pb
```

Entry 4:
This record from Alexandria via LeMat-Bulk describes TlPb3I after structural relaxation. The functional is PBE.

## Properties
The density of states at the Fermi level is 1.78 states/eV/atom. The value obtained for the uncorrected energy is -12.979 eV/cell. The value obtained for the energy above the most stable polymorph in this dataset is 0.0 meV/atom. Its formation energy without anion corrections is 0.41 eV/atom.

```
TlPb3I
1.0
6.000 0.000 0.000
0.000 6.000 0.000
0.000 0.000 6.000
Pb Tl I
3 1 1
direct
0.000 0.000 0.500 Pb
0.000 0.500 0.000 Pb
0.500 0.000 0.000 Pb
0.000 0.000 0.000 Tl
0.500 0.500 0.500 I
```